No. 1
Below is a geometry-optimized Na2TlI structure, with properties calculated at the PBE level.

Cell lengths 8.0942, 8.0942, 8.0942 Å; angles 90.00, 90.00, 90.00 degrees
Space group Fm-3m (No. 225)
Inequivalent atoms, fractional coordinates:
Na 0.2500 0.2500 0.2500 [8 per cell]
Tl 0.0000 0.0000 0.0000 [4 per cell]
I 0.0000 0.0000 0.5000 [4 per cell]

## Properties
Formation energy from raw total energies: -0.3219 eV/atom



No. 2
Below is a geometry-optimized P2Pt structure, with properties calculated at the PBE level.

Cell lengths 6.0049, 4.6095, 7.5383 Å; angles 90.00, 90.00, 90.00 degrees
Space group Pnma (No. 62)
Inequivalent atoms, fractional coordinates:
P 0.1004 0.2500 0.0848 [4 per cell]
P 0.1502 0.7500 0.3716 [4 per cell]
Pt 0.2430 0.2500 0.5610 [4 per cell]

## Properties
Formation energy from the elements: -0.331 eV per formula unit